VASP calculation (PBE) on a relaxed structure of K2ScNi.

- V: 31.75 Å³/atom
- Energy above the most stable polymorph in this dataset: 935 meV/atom
- Calculated formation energy: 0.90 eV per atom

Cell: 4.6294 4.6294 5.9265 Å, 90.00 90.00 90.00°
Site moments in Bohr magnetons follow the coordinates.
Positions (direct):
Ni 0.5000 0.5000 0.2500  0.02
Sc 0.5000 0.5000 0.7500  0.28
K 0.0000 0.0000 0.4837  0.01
K 0.0000 0.0000 0.0163  0.01